[1]
Below is a relaxed structure of TbYRu, with properties calculated at the PBE level.

Results
Magnetic moment (μB/cell): 0.0
Energy relative to the lowest polymorph listed for this composition (eV/atom): 0.001
Total DFT energy (no corrections) (eV/atom): -7.05

abc: 6.781 6.781 6.781
angles: 90.00 90.00 90.00
Space group F-43m (No. 216)
One atom of each set of equivalent atoms:
1 Tb 0.000 0.000 0.000 [4 per cell]
2 Y 0.000 0.000 0.500 [4 per cell]
3 Ru 0.250 0.250 0.750 [4 per cell]

[2]
Below is a relaxed structure of TbY3Ru4, with properties calculated at the PBE level.

Results
Magnetic moment (μB/cell): 0.0
Total DFT energy (no corrections) (eV/atom): -7.92

abc: 3.412 3.412 13.650
angles: 90.00 90.00 90.00
Space group P4/mmm (No. 123)
One atom of each set of equivalent atoms:
1 Tb 0.000 0.000 0.000 [1 per cell]
2 Y 0.000 0.000 0.250 [2 per cell]
3 Y 0.000 0.000 0.500 [1 per cell]
4 Ru 0.500 0.500 0.124 [2 per cell]
5 Ru 0.500 0.500 0.375 [2 per cell]

[3]
Below is a relaxed structure of Tb3YRu8, with properties calculated at the PBE level.

Results
Magnetic moment (μB/cell): 0.0
Total DFT energy (no corrections) (eV/atom): -8.16

abc: 5.3356 5.3356 26.2988
angles: 90.00 90.00 120.00
Space group R3m (No. 160, hexagonal axes)
One atom of each set of equivalent atoms:
1 Tb 0.0000 0.0000 0.0000 [3 per cell]
2 Tb 0.0000 0.0000 0.1248 [3 per cell]
3 Tb 0.0000 0.0000 0.6249 [3 per cell]
4 Y 0.0000 0.0000 0.5000 [3 per cell]
5 Ru 0.0000 0.0000 0.3126 [3 per cell]
6 Ru 0.0000 0.0000 0.8126 [3 per cell]
7 Ru 0.9999 0.4999 0.0625 [9 per cell]
8 Ru 0.9997 0.4998 0.5624 [9 per cell]

[4]
Below is a relaxed structure of Tb2YRu, with properties calculated at the PBE level.

Results
Magnetic moment (μB/cell): 0.0
Energy relative to the lowest polymorph listed for this composition (eV/atom): 0.127
Total DFT energy (no corrections) (eV/atom): -6.43

abc: 3.444 3.444 9.003
angles: 90.00 90.00 90.00
Space group P4/mmm (No. 123)
One atom of each set of equivalent atoms:
1 Tb 0.000 0.000 0.184 [2 per cell]
2 Y 0.500 0.500 0.500 [1 per cell]
3 Ru 0.500 0.500 0.000 [1 per cell]

[5]
Below is a relaxed structure of Tb3YRu2, with properties calculated at the PBE level.

Results
Magnetic moment (μB/cell): 0.0
Energy relative to the lowest polymorph listed for this composition (eV/atom): 0.000
Total DFT energy (no corrections) (eV/atom): -6.80

abc: 4.389 8.848 7.497
angles: 90.00 90.00 90.00
Space group Pmc2_1 (No. 26)
One atom of each set of equivalent atoms:
1 Tb 0.000 0.085 0.000 [2 per cell]
2 Tb 0.000 0.321 0.370 [2 per cell]
3 Tb 0.500 0.179 0.666 [2 per cell]
4 Y 0.500 0.416 0.035 [2 per cell]
5 Ru 0.000 0.359 0.765 [2 per cell]
6 Ru 0.500 0.141 0.270 [2 per cell]

[6]
Below is a relaxed structure of TbYRu4, with properties calculated at the PBE level.

Results
Magnetic moment (μB/cell): 0.0
Total DFT energy (no corrections) (eV/atom): -8.32

abc: 7.558 7.558 7.558
angles: 90.00 90.00 90.00
Space group F-43m (No. 216)
One atom of each set of equivalent atoms:
1 Tb 0.000 0.000 0.000 [4 per cell]
2 Y 0.250 0.250 0.750 [4 per cell]
3 Ru 0.125 0.125 0.375 [16 per cell]

[7]
Below is a relaxed structure of Tb3YRu4, with properties calculated at the PBE level.

Results
Magnetic moment (μB/cell): 0.0
Total DFT energy (no corrections) (eV/atom): -7.47

abc: 4.818 4.818 6.844
angles: 90.00 90.00 90.00
Space group P4/mmm (No. 123)
One atom of each set of equivalent atoms:
1 Tb 0.000 0.000 0.000 [1 per cell]
2 Tb 0.000 0.000 0.500 [1 per cell]
3 Tb 0.500 0.500 0.000 [1 per cell]
4 Y 0.500 0.500 0.500 [1 per cell]
5 Ru 0.000 0.500 0.249 [4 per cell]

[8]
Below is a relaxed structure of Tb5YRu6, with properties calculated at the PBE level.

Results
Magnetic moment (μB/cell): 0.0
Total DFT energy (no corrections) (eV/atom): -7.39

abc: 15.210 6.837 4.829
angles: 90.00 108.42 90.00
Space group C2/m (No. 12)
One atom of each set of equivalent atoms:
1 Tb 0.000 0.000 0.000 [2 per cell]
2 Tb 0.166 0.500 0.666 [4 per cell]
3 Tb 0.167 0.000 0.667 [4 per cell]
4 Y 0.000 0.500 0.000 [2 per cell]
5 Ru 0.000 0.248 0.500 [4 per cell]
6 Ru 0.167 0.249 0.167 [8 per cell]

[9]
Below is a relaxed structure of Tb2YRu, with properties calculated at the PBE level.

Results
Magnetic moment (μB/cell): 0.0
Energy relative to the lowest polymorph listed for this composition (eV/atom): 0.018
Total DFT energy (no corrections) (eV/atom): -6.54

abc: 3.963 11.887 9.103
angles: 90.00 90.00 90.00
Space group Cmcm (No. 63)
One atom of each set of equivalent atoms:
1 Tb 0.000 0.143 0.067 [8 per cell]
2 Y 0.000 0.424 0.250 [4 per cell]
3 Ru 0.000 0.244 0.750 [4 per cell]

[10]
Below is a relaxed structure of Tb4YRu5, with properties calculated at the PBE level.

Results
Magnetic moment (μB/cell): 0.0
Total DFT energy (no corrections) (eV/atom): -7.42

abc: 3.416 3.416 17.030
angles: 90.00 90.00 90.00
Space group P4/mmm (No. 123)
One atom of each set of equivalent atoms:
1 Tb 0.000 0.000 0.100 [2 per cell]
2 Tb 0.000 0.000 0.300 [2 per cell]
3 Y 0.000 0.000 0.500 [1 per cell]
4 Ru 0.500 0.500 0.000 [1 per cell]
5 Ru 0.500 0.500 0.200 [2 per cell]
6 Ru 0.500 0.500 0.399 [2 per cell]

[11]
Below is a relaxed structure of Tb2YRu2, with properties calculated at the PBE level.

Results
Magnetic moment (μB/cell): 0.0
Energy relative to the lowest polymorph listed for this composition (eV/atom): 0.088
Total DFT energy (no corrections) (eV/atom): -7.06

abc: 5.452 4.413 10.309
angles: 90.00 98.13 90.00
Space group P2_1/m (No. 11)
One atom of each set of equivalent atoms:
1 Tb 0.109 0.250 0.386 [2 per cell]
2 Tb 0.248 0.250 0.027 [2 per cell]
3 Y 0.427 0.250 0.719 [2 per cell]
4 Ru 0.249 0.750 0.849 [2 per cell]
5 Ru 0.365 0.750 0.544 [2 per cell]

[12]
Below is a relaxed structure of Tb2YRu2, with properties calculated at the PBE level.

Results
Magnetic moment (μB/cell): 0.0
Energy relative to the lowest polymorph listed for this composition (eV/atom): 0.000
Total DFT energy (no corrections) (eV/atom): -7.15

abc: 3.412 20.524 3.391
angles: 90.00 90.00 90.00
Space group Cmmm (No. 65)
One atom of each set of equivalent atoms:
1 Tb 0.000 0.165 0.000 [4 per cell]
2 Y 0.000 0.000 0.000 [2 per cell]
3 Ru 0.000 0.412 0.500 [4 per cell]